# 1
A geometry-optimized CaSiAg structure, computed with GGA-PBE.

Computed properties:
energy relative to the elements, uncorrected: -1.09 eV per formula unit

The structure in CIF format:
```
data_CaSiAg
_symmetry_space_group_name_H-M 'P -6 m 2'
_symmetry_Int_Tables_number 187
_symmetry_space_group_name_Hall 'P -6 2'
_cell_length_a 4.5567
_cell_length_b 4.5567
_cell_length_c 3.5158
_cell_angle_alpha 90.00
_cell_angle_beta 90.00
_cell_angle_gamma 120.00
loop_
_atom_site_label
_atom_site_type_symbol
_atom_site_fract_x
_atom_site_fract_y
_atom_site_fract_z
Ca1 Ca 0.0000 0.0000 0.0000
Si1 Si 0.3333 0.6667 0.5000
Ag1 Ag 0.6667 0.3333 0.5000
```

=====

# 2
A geometry-optimized CsH4I3 structure, computed with GGA-PBE.

Computed properties:
DFT total energy: -2.779 eV/atom

The structure in CIF format:
```
data_CsH4I3
_symmetry_space_group_name_H-M 'C 1 2/m 1'
_symmetry_Int_Tables_number 12
_symmetry_space_group_name_Hall '-C 2y'
_cell_length_a 15.7099
_cell_length_b 5.3814
_cell_length_c 6.3511
_cell_angle_alpha 90.00
_cell_angle_beta 103.27
_cell_angle_gamma 90.00
loop_
_atom_site_label
_atom_site_type_symbol
_atom_site_fract_x
_atom_site_fract_y
_atom_site_fract_z
Cs1 Cs 0.0000 0.0000 0.0000
H1 H 0.1590 0.0000 0.4676
H2 H 0.1891 0.0000 0.3907
I1 I 0.0000 0.5000 0.5000
I2 I 0.1559 0.5000 0.8644
```

=====

# 3
A geometry-optimized Pa2Al3Hg structure, computed with GGA-PBE.

Computed properties:
ΔH_f (0 K): -210 meV/atom

The structure in CIF format:
```
data_Pa2Al3Hg
_symmetry_space_group_name_H-M 'P 63/m m c'
_symmetry_Int_Tables_number 194
_symmetry_space_group_name_Hall '-P 6c 2c'
_cell_length_a 5.7181
_cell_length_b 5.7181
_cell_length_c 8.7341
_cell_angle_alpha 90.00
_cell_angle_beta 90.00
_cell_angle_gamma 120.00
loop_
_atom_site_label
_atom_site_type_symbol
_atom_site_fract_x
_atom_site_fract_y
_atom_site_fract_z
Pa1 Pa 0.3333 0.6667 0.0935
Al1 Al 0.1775 0.3549 0.7500
Hg1 Hg 0.0000 0.0000 0.0000
```

=====

# 4
A geometry-optimized Nd8Er2Tm structure, computed with GGA-PBE.

Computed properties:
ΔH_f (0 K): 171 meV/atom
ΔE to the lowest computed polymorph: 12 meV/atom

The structure in CIF format:
```
data_Nd8Er2Tm
_symmetry_space_group_name_H-M 'C 1 2/m 1'
_symmetry_Int_Tables_number 12
_symmetry_space_group_name_Hall '-C 2y'
_cell_length_a 16.8103
_cell_length_b 6.8123
_cell_length_c 6.7186
_cell_angle_alpha 90.00
_cell_angle_beta 100.37
_cell_angle_gamma 90.00
loop_
_atom_site_label
_atom_site_type_symbol
_atom_site_fract_x
_atom_site_fract_y
_atom_site_fract_z
Nd1 Nd 0.0863 0.2385 0.4029
Nd2 Nd 0.0951 0.0000 0.9151
Nd3 Nd 0.2446 0.5000 0.3213
Er1 Er 0.1949 0.5000 0.8072
Tm1 Tm 0.0000 0.5000 0.0000
```

=====

# 5
A geometry-optimized CsSnTe3 structure, computed with GGA-PBE.

Computed properties:
energy relative to the elements, uncorrected: -1.31 eV per formula unit

The structure in CIF format:
```
data_CsSnTe3
_symmetry_space_group_name_H-M 'R -3 c'
_symmetry_Int_Tables_number 167
_symmetry_space_group_name_Hall '-R 3 2"c'
_cell_length_a 8.9937
_cell_length_b 8.9937
_cell_length_c 16.8048
_cell_angle_alpha 90.00
_cell_angle_beta 90.00
_cell_angle_gamma 120.00
loop_
_atom_site_label
_atom_site_type_symbol
_atom_site_fract_x
_atom_site_fract_y
_atom_site_fract_z
Cs1 Cs 0.0000 0.0000 0.2500
Sn1 Sn 0.0000 0.0000 0.0000
Te1 Te 0.0000 0.4274 0.2500
```

=====

# 6
A geometry-optimized Sc4GaPbO structure, computed with GGA-PBE.

Computed properties:
energy relative to the elements, uncorrected: -8.21 eV per formula unit

The structure in CIF format:
```
data_Sc4GaPbO
_symmetry_space_group_name_H-M 'C m c m'
_symmetry_Int_Tables_number 63
_symmetry_space_group_name_Hall '-C 2c 2'
_cell_length_a 6.0607
_cell_length_b 15.2222
_cell_length_c 6.0727
_cell_angle_alpha 90.00
_cell_angle_beta 90.00
_cell_angle_gamma 90.00
loop_
_atom_site_label
_atom_site_type_symbol
_atom_site_fract_x
_atom_site_fract_y
_atom_site_fract_z
Sc1 Sc 0.0000 0.0763 0.2500
Sc2 Sc 0.0000 0.4082 0.2500
Sc3 Sc 0.2500 0.2500 0.0000
Ga1 Ga 0.0000 0.1144 0.7500
Pb1 Pb 0.0000 0.3969 0.7500
O1 O 0.0000 0.2520 0.2500
```

=====

# 7
A geometry-optimized La2PuMnN4 structure, computed with GGA-PBE.

Computed properties:
energy relative to the elements, uncorrected: -6.90 eV per formula unit

The structure in CIF format:
```
data_La2PuMnN4
_symmetry_space_group_name_H-M 'C m c m'
_symmetry_Int_Tables_number 63
_symmetry_space_group_name_Hall '-C 2c 2'
_cell_length_a 3.4589
_cell_length_b 11.7568
_cell_length_c 12.5462
_cell_angle_alpha 90.00
_cell_angle_beta 90.00
_cell_angle_gamma 90.00
loop_
_atom_site_label
_atom_site_type_symbol
_atom_site_fract_x
_atom_site_fract_y
_atom_site_fract_z
La1 La 0.0000 0.1335 0.0449
Pu1 Pu 0.0000 0.3907 0.2500
Mn1 Mn 0.0000 0.3286 0.7500
N1 N 0.0000 0.0850 0.2500
N2 N 0.0000 0.2187 0.6436
N3 N 0.0000 0.5000 0.0000
```

=====

# 8
A geometry-optimized HfZr3W structure, computed with GGA-PBE.

Computed properties:
ΔH_f (0 K): 880 meV/atom
ΔE to the lowest computed polymorph: 0 meV/atom

The structure in CIF format:
```
data_HfZr3W
_symmetry_space_group_name_H-M 'P m -3 m'
_symmetry_Int_Tables_number 221
_symmetry_space_group_name_Hall '-P 4 2 3'
_cell_length_a 5.0679
_cell_length_b 5.0679
_cell_length_c 5.0679
_cell_angle_alpha 90.00
_cell_angle_beta 90.00
_cell_angle_gamma 90.00
loop_
_atom_site_label
_atom_site_type_symbol
_atom_site_fract_x
_atom_site_fract_y
_atom_site_fract_z
Hf1 Hf 0.0000 0.0000 0.0000
Zr1 Zr 0.0000 0.5000 0.5000
W1 W 0.5000 0.5000 0.5000
```

=====

# 9
A geometry-optimized TbPmTe2Se structure, computed with GGA-PBE.

Computed properties:
energy relative to the elements, uncorrected: -7.10 eV per formula unit

The structure in CIF format:
```
data_TbPmTe2Se
_symmetry_space_group_name_H-M 'P 4/n m m'
_symmetry_Int_Tables_number 129
_cell_length_a 4.3578
_cell_length_b 4.3578
_cell_length_c 15.6773
_cell_angle_alpha 90.00
_cell_angle_beta 90.00
_cell_angle_gamma 90.00
loop_
_symmetry_equiv_pos_as_xyz
'x,y,z'
'-x,-y,-z'
'-y+1/2,x,z'
'y+1/2,-x,-z'
'-x+1/2,-y+1/2,z'
'x+1/2,y+1/2,-z'
'y,-x+1/2,z'
'-y,x+1/2,-z'
'x+1/2,-y,-z'
'-x+1/2,y,z'
'-y,-x,-z'
'y,x,z'
'-x,y+1/2,-z'
'x,-y+1/2,z'
'y+1/2,x+1/2,-z'
'-y+1/2,-x+1/2,z'
loop_
_atom_site_label
_atom_site_type_symbol
_atom_site_fract_x
_atom_site_fract_y
_atom_site_fract_z
Tb1 Tb 0.2500 0.2500 0.0905
Pm1 Pm 0.2500 0.2500 0.6308
Te1 Te 0.2500 0.2500 0.2898
Te2 Te 0.2500 0.2500 0.8905
Se1 Se 0.2500 0.7500 0.5000
```

=====

# 10
A geometry-optimized TiCu3Br2F6 structure, computed with GGA-PBE.

Computed properties:
energy relative to the elements, uncorrected: -22.27 eV per formula unit

The structure in CIF format:
```
data_TiCu3Br2F6
_symmetry_space_group_name_H-M 'C 1 2/m 1'
_symmetry_Int_Tables_number 12
_symmetry_space_group_name_Hall '-C 2y'
_cell_length_a 15.2234
_cell_length_b 5.5855
_cell_length_c 5.0871
_cell_angle_alpha 90.00
_cell_angle_beta 96.54
_cell_angle_gamma 90.00
loop_
_atom_site_label
_atom_site_type_symbol
_atom_site_fract_x
_atom_site_fract_y
_atom_site_fract_z
Ti1 Ti 0.0000 0.0000 0.0000
Cu1 Cu 0.0000 0.5000 0.5000
Cu2 Cu 0.2500 0.2500 0.0000
Br1 Br 0.1932 0.5000 0.6654
F1 F 0.0333 0.2448 0.2549
F2 F 0.1150 0.0000 0.9048
```

=====

# 11
A geometry-optimized MnPb2Br structure, computed with GGA-PBE.

Computed properties:
ΔE to the lowest computed polymorph: 136 meV/atom
energy relative to the elements, uncorrected: 0.66 eV per formula unit

The structure in CIF format:
```
data_MnPb2Br
_symmetry_space_group_name_H-M 'R -3 m'
_symmetry_Int_Tables_number 166
_symmetry_space_group_name_Hall '-R 3 2"'
_cell_length_a 3.7170
_cell_length_b 3.7170
_cell_length_c 26.7787
_cell_angle_alpha 90.00
_cell_angle_beta 90.00
_cell_angle_gamma 120.00
loop_
_atom_site_label
_atom_site_type_symbol
_atom_site_fract_x
_atom_site_fract_y
_atom_site_fract_z
Mn1 Mn 0.0000 0.0000 0.0000
Pb1 Pb 0.0000 0.0000 0.2588
Br1 Br 0.0000 0.0000 0.5000
```

=====

# 12
A geometry-optimized SrAsPt3 structure, computed with GGA-PBE.

Computed properties:
ΔH_f (0 K): 1645 meV/atom
ΔE to the lowest computed polymorph: 2340 meV/atom

The structure in CIF format:
```
data_SrAsPt3
_symmetry_space_group_name_H-M 'P m -3 m'
_symmetry_Int_Tables_number 221
_symmetry_space_group_name_Hall '-P 4 2 3'
_cell_length_a 5.1773
_cell_length_b 5.1773
_cell_length_c 5.1773
_cell_angle_alpha 90.00
_cell_angle_beta 90.00
_cell_angle_gamma 90.00
loop_
_atom_site_label
_atom_site_type_symbol
_atom_site_fract_x
_atom_site_fract_y
_atom_site_fract_z
Sr1 Sr 0.0000 0.0000 0.0000
As1 As 0.5000 0.5000 0.5000
Pt1 Pt 0.0000 0.0000 0.5000
```

=====

# 13
A geometry-optimized CoPdAu2 structure, computed with GGA-PBE.

Computed properties:
ΔH_f (0 K): 322 meV/atom

The structure in CIF format:
```
data_CoPdAu2
_symmetry_space_group_name_H-M 'R -3 m'
_symmetry_Int_Tables_number 166
_symmetry_space_group_name_Hall '-R 3 2"'
_cell_length_a 2.7744
_cell_length_b 2.7744
_cell_length_c 30.0226
_cell_angle_alpha 90.00
_cell_angle_beta 90.00
_cell_angle_gamma 120.00
loop_
_atom_site_label
_atom_site_type_symbol
_atom_site_fract_x
_atom_site_fract_y
_atom_site_fract_z
Co1 Co 0.0000 0.0000 0.0000
Pd1 Pd 0.0000 0.0000 0.5000
Au1 Au 0.0000 0.0000 0.0854
```